RbIrPbO6, relaxed, DFT PBE-GGA; formation energy from raw total energies = -0.819 eV per atom; symmetry = P312 (149); M_tot = 0.0 μB/f.u.; mass density = 5.7 Mg/m³; final energy = -5.628 eV per atom; Fermi-level density of states = 4.63 states/eV/f.u.
1.0
5.643 0.000 0.000
-2.821 4.887 0.000
0.000 0.000 6.186
Rb Ir Pb O
1 1 1 6
Direct
0.000 0.000 0.000
0.667 0.333 0.500
0.333 0.667 0.500
0.408 0.044 0.680
0.408 0.364 0.320
0.636 0.044 0.320
0.636 0.592 0.680
0.956 0.364 0.680
0.956 0.592 0.320


Rb2IrPbO6, relaxed, DFT PBE-GGA; formation energy from raw total energies = -0.955 eV per atom; symmetry = Fm-3m (225); M_tot = 0.9 μB/f.u.; mass density = 6.5 Mg/m³; final energy = -5.380 eV per atom; Fermi-level density of states = 5.85 states/eV/f.u.
1.0
0.000 4.404 4.404
4.404 0.000 4.404
4.404 4.404 0.000
Rb Ir Pb O
2 1 1 6
Direct
0.250 0.250 0.250
0.750 0.750 0.750
0.000 0.000 0.000
0.500 0.500 0.500
0.216 0.216 0.784
0.216 0.784 0.216
0.216 0.784 0.784
0.784 0.216 0.216
0.784 0.216 0.784
0.784 0.784 0.216


IrRhPb2O6, relaxed, DFT PBE-GGA; formation energy from raw total energies = -0.710 eV per atom; symmetry = P4mm (99); M_tot = 0.0 μB/f.u.; mass density = 10.1 Mg/m³; final energy = -6.047 eV per atom; Fermi-level density of states = 8.75 states/eV/f.u.
1.0
5.731 0.000 0.000
0.000 5.731 0.000
0.000 0.000 4.033
Ir Rh Pb O
1 1 2 6
Direct
0.000 0.000 0.000
0.500 0.500 0.999
0.000 0.500 0.437
0.500 0.000 0.437
0.000 0.000 0.517
0.246 0.246 0.069
0.246 0.754 0.069
0.500 0.500 0.513
0.754 0.246 0.069
0.754 0.754 0.069


IrRhPb2O8, relaxed, DFT PBE-GGA; formation energy from raw total energies = -0.732 eV per atom; symmetry = P2/m (10); M_tot = 1.0 μB/f.u.; mass density = 8.9 Mg/m³; final energy = -6.007 eV per atom; Fermi-level density of states = 6.20 states/eV/f.u.
1.0
4.795 0.000 0.000
0.000 6.578 0.000
-0.080 0.000 4.940
Ir Rh Pb O
1 1 2 8
Direct
0.000 0.000 0.000
0.000 0.500 0.000
0.500 0.253 0.500
0.500 0.747 0.500
0.196 0.246 0.853
0.196 0.754 0.853
0.260 0.000 0.314
0.260 0.500 0.323
0.740 0.000 0.686
0.740 0.500 0.677
0.804 0.246 0.147
0.804 0.754 0.147


IrRh2PbO8, relaxed, DFT PBE-GGA; formation energy from raw total energies = -0.743 eV per atom; symmetry = P2/m (10); M_tot = 0.0 μB/f.u.; mass density = 8.6 Mg/m³; final energy = -6.321 eV per atom; Fermi-level density of states = 7.94 states/eV/f.u.
1.0
4.657 0.000 0.000
0.000 6.539 0.000
-0.011 0.000 4.660
Ir Rh Pb O
1 2 1 8
Direct
0.000 0.000 0.000
0.500 0.242 0.500
0.500 0.758 0.500
0.000 0.500 0.000
0.199 0.228 0.197
0.199 0.772 0.197
0.301 0.000 0.698
0.323 0.500 0.674
0.677 0.500 0.326
0.699 0.000 0.302
0.801 0.228 0.803
0.801 0.772 0.803


IrRu2PbO8, relaxed, DFT PBE-GGA; formation energy from raw total energies = -0.856 eV per atom; symmetry = Cmmm (65); M_tot = 0.9 μB/f.u.; mass density = 8.5 Mg/m³; final energy = -6.755 eV per atom; Fermi-level density of states = 6.95 states/eV/f.u.
1.0
3.288 -3.324 0.000
3.288 3.324 0.000
0.000 0.000 6.506
Ir Ru Pb O
1 2 1 8
Direct
0.000 0.000 0.000
0.500 0.500 0.241
0.500 0.500 0.759
0.000 0.000 0.500
0.203 0.203 0.227
0.203 0.203 0.773
0.304 0.696 0.000
0.328 0.672 0.500
0.672 0.328 0.500
0.696 0.304 0.000
0.797 0.797 0.227
0.797 0.797 0.773


Ir2RuPbO, relaxed, DFT PBE-GGA; formation energy from raw total energies = 2.766 eV per atom; symmetry = P4/mmm (123); M_tot = 5.7 μB/f.u.; mass density = 9.0 Mg/m³; final energy = -4.367 eV per atom; Fermi-level density of states = 6.45 states/eV/f.u.
1.0
5.036 0.000 0.000
0.000 5.036 0.000
0.000 0.000 5.151
Ir Ru Pb O
2 1 1 1
Direct
0.000 0.500 0.000
0.500 0.000 0.000
0.000 0.000 0.500
0.000 0.000 0.000
0.500 0.500 0.500


SbIrPbO6, relaxed, DFT PBE-GGA; formation energy from raw total energies = -0.972 eV per atom; symmetry = Imma (74); M_tot = 0.8 μB/f.u.; mass density = 7.6 Mg/m³; final energy = -6.132 eV per atom; Fermi-level density of states = 4.46 states/eV/f.u.
1.0
-3.554 3.644 5.206
3.554 -3.644 5.206
3.554 3.644 -5.206
Sb Ir Pb O
2 2 2 12
Direct
0.000 0.000 0.000
0.500 0.000 0.500
0.500 0.000 0.000
0.500 0.500 0.500
0.206 0.456 0.750
0.794 0.544 0.250
0.173 0.923 0.250
0.176 0.337 0.281
0.176 0.895 0.839
0.434 0.684 0.750
0.444 0.105 0.781
0.444 0.663 0.339
0.556 0.337 0.661
0.556 0.895 0.219
0.566 0.316 0.250
0.824 0.105 0.161
0.824 0.663 0.719
0.827 0.077 0.750